[1]
DFT (PBEsol) results for crystalline Ca4AlP at its relaxed geometry.

Results
- energy relative to the elements (meV/atom) = 465
- mass density (g cm⁻³) = 2.13
- density of states at the Fermi level (states/eV/cell) = 31.5
- size of the total moment (μB/f.u.) = 0.0
- volume (Å³ per cell) = 682.0

a b c (Å): 8.8024 8.8024 8.8024
angles (deg): 90.00 90.00 90.00
Space group F-43m (No. 216)
Unique sites:
1 Ca 0.1254 0.1254 0.1254
2 Al 0.2500 0.2500 0.7500
3 P 0.0000 0.0000 0.5000


[2]
DFT (PBEsol) results for crystalline NdBiRh at its relaxed geometry.

Results
- energy relative to the elements (meV/atom) = -736
- mass density (g cm⁻³) = 10.97
- density of states at the Fermi level (states/eV/cell) = 9.1
- size of the total moment (μB/f.u.) = 0.0
- volume (Å³ per cell) = 276.3

a b c (Å): 7.3538 4.7049 7.9846
angles (deg): 90.00 90.00 90.00
Space group Pnma (No. 62)
Unique sites:
1 Nd 0.0132 0.2500 0.1965
2 Bi 0.1834 0.2500 0.5894
3 Rh 0.2064 0.7500 0.4187


[3]
DFT (PBEsol) results for crystalline Li3CoN2 at its relaxed geometry.

Results
- formation energy from raw total energies (eV/atom) = -0.374
- mass density (g cm⁻³) = 3.56
- density of states at the Fermi level (states/eV/cell) = 39.0
- size of the total moment (μB/f.u.) = 0.0
- volume (Å³ per cell) = 804.4

a b c (Å): 9.3002 9.3002 9.3002
angles (deg): 90.00 90.00 90.00
Space group Ia-3 (No. 206)
Unique sites:
1 Li 0.1114 0.1473 0.3683
2 Co 0.1125 0.1125 0.1125
3 N 0.0000 0.0000 0.0000
4 N 0.0000 0.2500 0.2165


[4]
DFT (PBEsol) results for crystalline LiScRu2 at its relaxed geometry.

Results
- energy relative to the elements (meV/atom) = 179
- mass density (g cm⁻³) = 7.06
- density of states at the Fermi level (states/eV/cell) = 13.1
- size of the total moment (μB/f.u.) = 0.0
- volume (Å³ per cell) = 179.2

a b c (Å): 2.8677 2.8677 25.1557
angles (deg): 90.00 90.00 120.00
Space group R-3m (No. 166, hexagonal axes)
Unique sites:
1 Li 0.0000 0.0000 0.0000
2 Sc 0.0000 0.0000 0.5000
3 Ru 0.0000 0.0000 0.2490


[5]
DFT (PBEsol) results for crystalline KFeCo at its relaxed geometry.

Results
- energy relative to the elements (meV/atom) = 820
- mass density (g cm⁻³) = 4.47
- density of states at the Fermi level (states/eV/cell) = 6.3
- size of the total moment (μB/f.u.) = 3.8
- volume (Å³ per cell) = 114.2

a b c (Å): 3.0814 3.0814 12.0327
angles (deg): 90.00 90.00 90.00
Space group I4mm (No. 107)
Unique sites:
1 K 0.0000 0.0000 0.0000
2 Fe 0.0000 0.0000 0.2750
3 Co 0.0000 0.0000 0.7183


[6]
DFT (PBEsol) results for crystalline Co2CuNi at its relaxed geometry.

Results
- energy relative to the elements (meV/atom) = 82
- mass density (g cm⁻³) = 9.43
- density of states at the Fermi level (states/eV/cell) = 8.8
- size of the total moment (μB/f.u.) = 3.7
- volume (Å³ per cell) = 84.6

a b c (Å): 8.1516 2.4483 4.3007
angles (deg): 90.00 99.71 90.00
Space group Cm (No. 8)
Unique sites:
1 Co 0.0000 0.0000 0.0000
2 Co 0.2481 0.5000 0.2316
3 Cu 0.2471 0.0000 0.7342
4 Ni 0.4948 0.0000 0.4903


[7]
DFT (PBEsol) results for crystalline AlCd2Cu at its relaxed geometry.

Results
- energy relative to the elements (meV/atom) = 125
- mass density (g cm⁻³) = 7.53
- density of states at the Fermi level (states/eV/cell) = 1.4
- size of the total moment (μB/f.u.) = 0.0
- volume (Å³ per cell) = 69.5

a b c (Å): 2.9080 2.9080 8.2213
angles (deg): 90.00 90.00 90.00
Space group P4/mmm (No. 123)
Unique sites:
1 Al 0.0000 0.0000 0.0000
2 Cd 0.5000 0.5000 0.2758
3 Cu 0.0000 0.0000 0.5000


[8]
DFT (PBEsol) results for crystalline SiTc3Sb at its relaxed geometry.

Results
- formation energy from raw total energies (eV/atom) = 0.761
- mass density (g cm⁻³) = 8.71
- density of states at the Fermi level (states/eV/cell) = 3.7
- size of the total moment (μB/f.u.) = 1.5
- volume (Å³ per cell) = 84.6

a b c (Å): 4.3900 4.3900 4.3900
angles (deg): 90.00 90.00 90.00
Space group Pm-3m (No. 221)
Unique sites:
1 Si 0.0000 0.0000 0.0000
2 Tc 0.0000 0.0000 0.5000
3 Sb 0.5000 0.5000 0.5000